KAcAgBr5 PBE relaxed; ΔE_f (raw) = -1.519 eV per atom; SG = C2/c, No. 15
1.0
-1.066 2.185 7.830
-7.114 0.865 -3.981
1.066 -11.027 0.687
K Ac Ag Br
2 2 2 10
Direct
0.362 0.638 0.250
0.638 0.362 0.750
0.000 0.000 0.500
0.000 0.000 0.000
0.684 0.316 0.250
0.316 0.684 0.750
0.100 0.900 0.250
0.900 0.100 0.750
0.936 0.332 0.125
0.064 0.668 0.875
0.668 0.064 0.375
0.332 0.936 0.625
0.733 0.615 0.444
0.267 0.385 0.556
0.385 0.267 0.056
0.615 0.733 0.944


Na3Eu PBE relaxed; SG = I4/mmm, No. 139; ΔE_f = 0.114 eV/atom
1.0
5.362 0.000 0.000
0.000 5.362 0.000
-2.681 -2.681 5.607
Eu Na
1 3
Direct
0.000 0.000 0.000
0.750 0.250 0.500
0.250 0.750 0.500
0.500 0.500 0.000


Taking the records one at a time from the top gives V values of 654.60; 161.24 Å³/cell.